[1]
A relaxed Sr2AlZn crystal, computed with GGA-PBE.

Summary:
- symmetry = F-43m

Cell lengths 5.451, 5.451, 5.451 Å; angles 60.00, 60.00, 60.00 degrees
Sites, in units of the cell vectors:
Al (0.500, 0.500, 0.500)
Sr (0.250, 0.250, 0.250)
Sr (0.000, 0.000, 0.000)
Zn (0.750, 0.750, 0.750)



[2]
A relaxed Sr2Al2Zn3 crystal, computed with GGA-PBE.

Summary:
- symmetry = C2/m

Cell lengths 4.495, 6.232, 7.095 Å; angles 116.42, 90.00, 111.14 degrees
Sites, in units of the cell vectors:
Al (0.136, 0.273, 0.246)
Al (0.864, 0.727, 0.754)
Sr (0.847, 0.695, 0.236)
Sr (0.153, 0.305, 0.764)
Zn (0.596, 0.191, 0.418)
Zn (0.404, 0.809, 0.582)
Zn (0.500, 0.000, 0.000)



Ordered calculated total energy results: -7.95; -16.03; unit eV for the cell shown.
Ordered volume results: 28.6; 23.3; unit A^3/atom.
Ordered formation energy results: 0.11; -0.19; unit eV per atom.